Entry from Alexandria via LeMat-Bulk: a geometry-optimized CsLiW2 structure (PBE).

The value obtained for the final energy is -4.694 eV per atom. For the energy above the most stable polymorph in this dataset, the calculation gives 0.798 eV per atom. Its density of states at the Fermi level is 3.20 states/eV/f.u. The value obtained for the formation energy is 9.9 eV/f.u.

The structure belongs to space group Fm-3m (No. 225); the cell edges are 6.596, 6.596 and 6.596 Å and the angles 90.00°, 90.00° and 90.00°. The inequivalent atoms are Cs at (0.000, 0.000, 0.000), Li at (0.000, 0.000, 0.500) and W at (0.250, 0.250, 0.250).



Entry from Alexandria via LeMat-Bulk: a geometry-optimized CsLi3W structure (PBE).

The value obtained for the final energy is -2.017 eV per atom. Its density of states at the Fermi level is 4.00 states/eV/f.u. The value obtained for the formation energy is 9.5 eV/f.u.

The structure belongs to space group Pm-3m (No. 221); the cell edges are 5.082, 5.082 and 5.082 Å and the angles 90.00°, 90.00° and 90.00°. The inequivalent atoms are Cs at (0.000, 0.000, 0.000), Li at (0.000, 0.000, 0.500) and W at (0.500, 0.500, 0.500).



Entry from Alexandria via LeMat-Bulk: a geometry-optimized CsLiW2 structure (PBE).

The value obtained for the final energy is -5.492 eV per atom. For the energy above the most stable polymorph in this dataset, the calculation gives 0.000 eV per atom. Its density of states at the Fermi level is 3.32 states/eV/f.u. The value obtained for the formation energy is 6.7 eV/f.u.

The structure belongs to space group I-42d (No. 122); the cell edges are 3.839, 3.839 and 23.528 Å and the angles 90.00°, 90.00° and 90.00°. The inequivalent atoms are Cs at (0.000, 0.000, 0.000), Li at (0.000, 0.000, 0.500) and W at (0.221, 0.250, 0.625).



Entry from Alexandria via LeMat-Bulk: a geometry-optimized CsLi2YW structure (PBE).

The value obtained for the final energy is -2.656 eV per atom. Its density of states at the Fermi level is 4.64 states/eV/f.u. The value obtained for the formation energy is 10.8 eV/f.u.

The structure belongs to space group P4/mmm (No. 123); the cell edges are 5.628, 5.628 and 6.381 Å and the angles 90.00°, 90.00° and 90.00°. The inequivalent atoms are Cs at (0.000, 0.000, 0.000), Li at (0.000, 0.500, 0.500), Y at (0.000, 0.000, 0.500) and W at (0.500, 0.500, 0.000).



Entry from Alexandria via LeMat-Bulk: a geometry-optimized CsLi3Y structure (PBE).

The value obtained for the final energy is -1.881 eV per atom. For the energy above the most stable polymorph in this dataset, the calculation gives 0.000 eV per atom. Its density of states at the Fermi level is 7.60 states/eV/f.u. The value obtained for the formation energy is 3.7 eV/f.u.

The structure belongs to space group Pm-3m (No. 221); the cell edges are 6.297, 6.297 and 6.297 Å and the angles 90.00°, 90.00° and 90.00°. The inequivalent atoms are Cs at (0.000, 0.000, 0.000), Li at (0.000, 0.500, 0.500) and Y at (0.500, 0.500, 0.500).



Entry from Alexandria via LeMat-Bulk: a geometry-optimized CsLiY3 structure (PBE).

The value obtained for the final energy is -3.782 eV per atom. For the energy above the most stable polymorph in this dataset, the calculation gives 0.000 eV per atom. Its density of states at the Fermi level is 5.18 states/eV/f.u. The value obtained for the formation energy is 3.2 eV/f.u.

The structure belongs to space group Pm-3m (No. 221); the cell edges are 5.723, 5.723 and 5.723 Å and the angles 90.00°, 90.00° and 90.00°. The inequivalent atoms are Cs at (0.000, 0.000, 0.000), Li at (0.500, 0.500, 0.500) and Y at (0.000, 0.500, 0.500).



Entry from Alexandria via LeMat-Bulk: a geometry-optimized Cs2LiY structure (PBE).

The value obtained for the final energy is -1.780 eV per atom. For the energy above the most stable polymorph in this dataset, the calculation gives 0.000 eV per atom. Its density of states at the Fermi level is 8.15 states/eV/f.u. The value obtained for the formation energy is 3.0 eV/f.u.

The structure belongs to space group Fm-3m (No. 225); the cell edges are 9.785, 9.785 and 9.785 Å and the angles 90.00°, 90.00° and 90.00°. The inequivalent atoms are Cs at (0.250, 0.250, 0.250), Li at (0.000, 0.000, 0.000) and Y at (0.000, 0.000, 0.500).



Entry from Alexandria via LeMat-Bulk: a geometry-optimized CsLiY3 structure (PBE).

The value obtained for the final energy is -3.201 eV per atom. For the energy above the most stable polymorph in this dataset, the calculation gives 0.581 eV per atom. Its density of states at the Fermi level is 5.00 states/eV/f.u. The value obtained for the formation energy is 6.2 eV/f.u.

The structure belongs to space group Pm-3m (No. 221); the cell edges are 5.726, 5.726 and 5.726 Å and the angles 90.00°, 90.00° and 90.00°. The inequivalent atoms are Cs at (0.000, 0.000, 0.000), Li at (0.500, 0.500, 0.500) and Y at (0.000, 0.000, 0.500).



Entry from Alexandria via LeMat-Bulk: a geometry-optimized CsLi2Y2 structure (PBE).

The value obtained for the final energy is -3.102 eV per atom. Its density of states at the Fermi level is 5.91 states/eV/f.u. The value obtained for the formation energy is 2.1 eV/f.u.

The structure belongs to space group P4/mbm (No. 127); the cell edges are 10.163, 10.163 and 3.479 Å and the angles 90.00°, 90.00° and 90.00°. The inequivalent atoms are Cs at (0.000, 0.000, 0.000), Li at (0.172, 0.328, 0.000) and Y at (0.114, 0.614, 0.500).



Entry from Alexandria via LeMat-Bulk: a geometry-optimized Cs2LiY2 structure (PBE).

The value obtained for the final energy is -2.753 eV per atom. Its density of states at the Fermi level is 8.96 states/eV/f.u. The value obtained for the formation energy is 2.8 eV/f.u.

The structure belongs to space group I4/mmm (No. 139); the cell edges are 4.586, 4.586 and 27.120 Å and the angles 90.00°, 90.00° and 90.00°. The inequivalent atoms are Cs at (0.000, 0.000, 0.106), Li at (0.000, 0.000, 0.500) and Y at (0.000, 0.500, 0.250).



Entry from Alexandria via LeMat-Bulk: a geometry-optimized CsLi3Y structure (PBE).

The value obtained for the final energy is -1.753 eV per atom. For the energy above the most stable polymorph in this dataset, the calculation gives 0.128 eV per atom. Its density of states at the Fermi level is 2.17 states/eV/f.u. The value obtained for the formation energy is 4.3 eV/f.u.

The structure belongs to space group Pm-3m (No. 221); the cell edges are 5.434, 5.434 and 5.434 Å and the angles 90.00°, 90.00° and 90.00°. The inequivalent atoms are Cs at (0.000, 0.000, 0.000), Li at (0.000, 0.000, 0.500) and Y at (0.500, 0.500, 0.500).



Entry from Alexandria via LeMat-Bulk: a geometry-optimized Cs3LiY structure (PBE).

The value obtained for the final energy is -1.460 eV per atom. For the energy above the most stable polymorph in this dataset, the calculation gives 0.000 eV per atom. Its density of states at the Fermi level is 6.52 states/eV/f.u. The value obtained for the formation energy is 3.6 eV/f.u.

The structure belongs to space group Pm-3m (No. 221); the cell edges are 7.248, 7.248 and 7.248 Å and the angles 90.00°, 90.00° and 90.00°. The inequivalent atoms are Cs at (0.000, 0.000, 0.500), Li at (0.000, 0.000, 0.000) and Y at (0.500, 0.500, 0.500).